VASP calculation (PBE) on a relaxed structure of MnHS2. Values from VASP.

Summary:
- spin magnetization (μB per formula unit) = 0.00
- calculated total energy (Ry/atom) = -0.3209

Geometry as Quantum ESPRESSO input:
```
&SYSTEM
  ibrav = 0, nat = 4, ntyp = 3
/
ATOMIC_SPECIES
Mn 54.94 Mn.upf
H 1.01 H.upf
S 32.06 S.upf
CELL_PARAMETERS angstrom
1.3995 0.8080 6.9270
-1.3995 0.8080 6.9270
0.0000 -1.6160 6.9270
ATOMIC_POSITIONS crystal
Mn 0.0000 0.0000 0.0000
H 0.5000 0.5000 0.5000
S 0.1010 0.1010 0.1010
S 0.8990 0.8990 0.8990
```

=====

VASP calculation (PBE) on a relaxed structure of MnHS2. Values from VASP.

Summary:
- spin magnetization (μB per formula unit) = 2.00
- calculated total energy (Ry/atom) = -0.4060

Geometry as Quantum ESPRESSO input:
```
&SYSTEM
  ibrav = 0, nat = 4, ntyp = 3
/
ATOMIC_SPECIES
Mn 54.94 Mn.upf
H 1.01 H.upf
S 32.06 S.upf
CELL_PARAMETERS angstrom
1.6823 0.9713 5.7511
-1.6823 0.9713 5.7511
0.0000 -1.9425 5.7511
ATOMIC_POSITIONS crystal
Mn 0.0000 0.0000 0.0000
H 0.5000 0.5000 0.5000
S 0.4056 0.4056 0.4056
S 0.5944 0.5944 0.5944
```

=====

VASP calculation (PBE) on a relaxed structure of MnHS2. Values from VASP.

Summary:
- spin magnetization (μB per formula unit) = 0.00
- calculated total energy (Ry/atom) = -0.3880

Geometry as Quantum ESPRESSO input:
```
&SYSTEM
  ibrav = 0, nat = 8, ntyp = 3
/
ATOMIC_SPECIES
Mn 54.94 Mn.upf
H 1.01 H.upf
S 32.06 S.upf
CELL_PARAMETERS angstrom
4.8977 0.0000 0.0000
0.0000 4.7167 0.0000
-1.1632 0.0000 5.8629
ATOMIC_POSITIONS crystal
Mn 0.0000 0.0000 0.0000
Mn 0.0000 0.5000 0.0000
H 0.0488 0.2500 0.2056
H 0.9512 0.7500 0.7944
S 0.2310 0.2500 0.7755
S 0.3377 0.7500 0.2246
S 0.6623 0.2500 0.7754
S 0.7690 0.7500 0.2245
```

=====

VASP calculation (PBE) on a relaxed structure of MnHS2. Values from VASP.

Summary:
- spin magnetization (μB per formula unit) = 0.00
- calculated total energy (Ry/atom) = -0.3906

Geometry as Quantum ESPRESSO input:
```
&SYSTEM
  ibrav = 0, nat = 16, ntyp = 3
/
ATOMIC_SPECIES
Mn 54.94 Mn.upf
H 1.01 H.upf
S 32.06 S.upf
CELL_PARAMETERS angstrom
6.3211 0.0000 0.0000
0.0000 5.1429 0.0000
-1.7936 0.0000 6.8888
ATOMIC_POSITIONS crystal
Mn 0.0009 0.2505 0.3227
Mn 0.0009 0.2495 0.8227
Mn 0.9991 0.7505 0.1773
Mn 0.9991 0.7495 0.6773
H 0.1629 0.5018 0.2863
H 0.1629 0.9982 0.7863
H 0.8371 0.0018 0.2137
H 0.8371 0.4982 0.7137
S 0.2075 0.6030 0.9681
S 0.2075 0.8970 0.4681
S 0.2107 0.1015 0.1258
S 0.2107 0.3985 0.6258
S 0.7893 0.6015 0.3742
S 0.7893 0.8985 0.8742
S 0.7925 0.1030 0.5319
S 0.7925 0.3970 0.0319
```

=====

VASP calculation (PBE) on a relaxed structure of MnHS2. Values from VASP.

Summary:
- spin magnetization (μB per formula unit) = 0.00
- calculated total energy (Ry/atom) = -0.4011

Geometry as Quantum ESPRESSO input:
```
&SYSTEM
  ibrav = 0, nat = 8, ntyp = 3
/
ATOMIC_SPECIES
Mn 54.94 Mn.upf
H 1.01 H.upf
S 32.06 S.upf
CELL_PARAMETERS angstrom
-1.5365 5.3419 3.0738
1.5365 -5.3419 3.0738
1.5365 5.3419 -3.0738
ATOMIC_POSITIONS crystal
Mn 0.1237 0.0000 0.1237
Mn 0.8763 0.0000 0.8763
H 0.3434 0.4866 0.8568
H 0.6298 0.4866 0.1432
S 0.1027 0.3463 0.7564
S 0.1866 0.6866 0.5000
S 0.5900 0.3463 0.2436
S 0.7222 0.7222 0.0000
```

=====

VASP calculation (PBE) on a relaxed structure of MnHS2. Values from VASP.

Summary:
- spin magnetization (μB per formula unit) = 3.12
- calculated total energy (Ry/atom) = -0.4054

Geometry as Quantum ESPRESSO input:
```
&SYSTEM
  ibrav = 0, nat = 8, ntyp = 3
/
ATOMIC_SPECIES
Mn 54.94 Mn.upf
H 1.01 H.upf
S 32.06 S.upf
CELL_PARAMETERS angstrom
3.3400 0.0000 0.0000
1.6410 6.1713 0.0000
0.1290 1.8050 6.4873
ATOMIC_POSITIONS crystal
Mn 0.0000 0.0000 0.0000
Mn 0.2293 0.5330 0.1471
H 0.7511 0.7905 0.4296
H 0.7684 0.4119 0.5178
S 0.1339 0.7857 0.3533
S 0.3680 0.2718 0.9385
S 0.6303 0.7486 0.9224
S 0.8310 0.3169 0.3576
```

=====

What polymorph energy (0 for the lowest one) values result from the calculations? In sequence: 1198 40 285 250 107 49 meV per atom.